Here is ReBiP2Pt after structural relaxation from the Alexandria database. Energies are from PBE.

It has space group P4/mmm (No. 123), with a = 4.640 Å, b = 4.640 Å, c = 5.054 Å, α = 90.00°, β = 90.00° and γ = 90.00°. Symmetry generates all atoms from Re at (0.000, 0.000, 0.000), Bi at (0.500, 0.500, 0.000), P at (0.000, 0.500, 0.500) and Pt at (0.000, 0.000, 0.500).

The spin magnetization is 0.001 μB per cell. As for the formation energy from the elements: 1.23 eV/atom.